Entry 1:
Below is a geometry-optimized Na7O2F2 structure, with properties calculated at the PBE level.

a b c (Å): 5.7420 5.8947 5.7420
angles (deg): 90.16 92.40 89.84
Last column: nearest neighbours and their distance in Å.
Atoms (fractional coordinates):
1 Na 0.9994 0.2430 0.5009  2 O 2.46, 2 F 2.58-2.60
2 Na 0.5009 0.7570 0.9994  2 O 2.46, 2 F 2.58-2.60
3 Na 0.0006 0.7570 0.4991  2 O 2.46, 2 F 2.58-2.60
4 Na 0.4991 0.2430 0.0006  2 O 2.46, 2 F 2.58-2.60
5 Na 0.0000 0.0000 0.0000  2 O 2.27
6 Na 0.5004 0.7663 0.4996  2 F 2.28, 2 O 2.33
7 Na 0.4996 0.2337 0.5004  2 F 2.28, 2 O 2.33
8 O 0.7264 0.9998 0.2736  7 Na 2.27-2.46
9 O 0.2736 0.0002 0.7264  7 Na 2.27-2.46
10 F 0.7082 0.5000 0.7082  2 Na 2.28
11 F 0.2918 0.5000 0.2918  2 Na 2.28

## Properties
Calculated volume in Å³ per cell: 194.18
E in eV per atom: -3.5814
Total magnetic moment in μB per formula unit: 0.00
ΔE_f (raw) in eV/f.u.: -16.50
Density of states at the Fermi level in states/eV/f.u.: 1.49


Entry 2:
Below is a geometry-optimized Nd2ZnSb structure, with properties calculated at the PBE level.

a b c (Å): 4.2562 6.2121 9.0884
angles (deg): 111.09 90.00 90.00
Last column: nearest neighbours and their distance in Å.
Atoms (fractional coordinates):
1 Nd 0.7500 0.2165 0.4383  4 Zn 3.14-3.48, 3 Sb 3.26-3.39
2 Nd 0.2500 0.7835 0.5617  4 Zn 3.14-3.48, 3 Sb 3.26-3.39
3 Nd 0.2500 0.7818 0.0781  3 Zn 3.14-3.49, 4 Sb 3.24-3.35
4 Nd 0.7500 0.2182 0.9219  3 Zn 3.14-3.49, 4 Sb 3.24-3.35
5 Zn 0.7500 0.6621 0.2905  2 Sb 2.83, 4 Nd 3.14
6 Zn 0.2500 0.3379 0.7095  2 Sb 2.83, 4 Nd 3.14
7 Sb 0.2500 0.3413 0.2092  2 Zn 2.83
8 Sb 0.7500 0.6587 0.7908  2 Zn 2.83

## Properties
Calculated volume in Å³ per cell: 224.19
E in eV per atom: -4.4466
Energy above the most stable polymorph in this dataset in eV per atom: 0.000
Total magnetic moment in μB per formula unit: 0.00
ΔE_f (raw) in eV/f.u.: -2.85
Density of states at the Fermi level in states/eV/f.u.: 3.60


Entry 3:
Below is a geometry-optimized YGaAsSe2 structure, with properties calculated at the PBE level.

a b c (Å): 4.9963 4.9963 4.8393
angles (deg): 90.00 90.00 90.00
Last column: nearest neighbours and their distance in Å.
Atoms (fractional coordinates):
1 Y 0.5000 0.5000 0.5000  8 Se 3.48, 4 As 3.53
2 As 0.0000 0.0000 0.5000  2 Ga 2.42
3 Ga 0.0000 0.0000 0.0000  2 As 2.42, 4 Se 2.50
4 Se 0.0000 0.5000 0.0000  2 Ga 2.50
5 Se 0.5000 0.0000 0.0000  2 Ga 2.50

## Properties
Calculated volume in Å³ per cell: 120.80
E in eV per atom: -4.5505
Energy above the most stable polymorph in this dataset in eV per atom: 0.000
Total magnetic moment in μB per formula unit: 0.00
ΔE_f (raw) in eV/f.u.: -1.64
Density of states at the Fermi level in states/eV/f.u.: 1.45